The following is a GGA-PBE calculation of a relaxed PrMgGe crystal, from the Alexandria database.

Results
E_form = -1.3 eV/f.u.
Calculated total energy = -24.6 eV/cell
Space group = Cmcm, No. 63
Magnetic moment = 0.00 μB/f.u.

POSCAR file:
```
PrMgGe
1.0
-4.242 0.019 -0.931
0.356 -3.840 -1.700
-1.786 -1.446 8.110
Pr Mg Ge
2 2 2
Cartesian
-3.457 -0.564 0.550
-2.214 -4.703 4.928
-3.808 -3.590 2.083
-1.864 -1.677 3.395
-1.301 -2.794 0.811
-4.370 -2.473 4.667
```



The following is a GGA-PBE calculation of a relaxed Pr2MgGe4Pt3 crystal, from the Alexandria database.

Results
E_form = -8.8 eV/f.u.
Calculated total energy = -56.5 eV/cell
Space group = P-4m2, No. 115
Magnetic moment = 0.00 μB/f.u.

POSCAR file:
```
Pr2MgGe4Pt3
1.0
-3.400 -2.057 -1.657
2.623 -2.316 -2.508
0.769 -7.491 7.722
Pt Pr Ge Mg
3 2 4 1
Cartesian
1.406 -2.079 -0.304
-1.026 -7.598 5.944
0.384 -3.745 3.861
-1.512 -2.864 1.064
1.892 -6.813 4.575
0.000 0.000 0.000
-1.204 -5.865 4.158
-0.388 -2.186 -2.082
1.584 -3.811 1.481
-0.004 -5.932 1.779
```



The following is a GGA-PBE calculation of a relaxed PrMgGe2Pt2 crystal, from the Alexandria database.

Results
E_form = -5.2 eV/f.u.
Calculated total energy = -32.9 eV/cell
Space group = P-3m1, No. 164
Magnetic moment = 0.00 μB/f.u.

POSCAR file:
```
PrMgGe2Pt2
1.0
-1.693 0.061 -4.035
-2.021 -2.216 3.188
-3.713 5.751 1.644
Pt Pr Ge Mg
2 1 2 1
Cartesian
-3.065 0.330 1.291
-4.361 3.266 -0.495
0.000 0.000 0.000
-2.861 0.941 -1.159
-4.566 2.654 1.955
-1.856 2.875 0.822
```



The following is a GGA-PBE calculation of a relaxed Pr2MgGe3Pt4 crystal, from the Alexandria database.

Results
E_form = -9.4 eV/f.u.
Calculated total energy = -58.5 eV/cell
Space group = P-4m2, No. 115
Magnetic moment = 0.00 μB/f.u.

POSCAR file:
```
Pr2MgGe3Pt4
1.0
-3.408 2.379 -1.354
-2.598 -2.130 2.796
2.046 7.084 7.296
Ge Mg Pt Pr
3 1 4 2
Cartesian
-1.038 -0.160 2.330
0.081 7.369 5.687
1.023 3.542 3.648
-1.980 3.667 4.369
0.000 0.000 0.000
-3.003 0.124 0.721
-0.553 1.517 4.057
-0.404 5.692 3.960
0.246 4.286 6.909
-1.203 2.923 1.108
```



The following is a GGA-PBE calculation of a relaxed Pr3MgGe6Pt2 crystal, from the Alexandria database.

Results
E_form = -5.3 eV/f.u.
Calculated total energy = -61.0 eV/cell
Space group = P-3m1, No. 164
Magnetic moment = 0.00 μB/f.u.

POSCAR file:
```
Pr3MgGe6Pt2
1.0
6.104 0.000 0.000
-3.052 5.286 0.000
0.000 0.000 8.277
Pt Pr Ge Mg
2 3 6 1
Cartesian
3.052 1.762 8.059
0.000 3.524 0.218
3.052 1.762 2.969
0.000 3.524 5.308
0.000 0.000 0.000
1.765 1.019 5.937
0.000 2.038 2.339
4.339 1.019 5.937
-1.287 4.267 2.339
1.287 4.267 2.339
3.052 3.249 5.937
0.000 0.000 4.138
```



The following is a GGA-PBE calculation of a relaxed PrMg2Ge2Pt crystal, from the Alexandria database.

Results
E_form = 0.6 eV/f.u.
Calculated total energy = -22.7 eV/cell
Space group = I4/mmm, No. 139
Magnetic moment = 0.00 μB/f.u.

POSCAR file:
```
PrMg2Ge2Pt
1.0
4.109 0.000 0.000
0.000 4.109 0.000
-2.055 -2.055 9.983
Pt Mg Ge Pr
1 2 2 1
Cartesian
0.000 0.000 0.000
2.055 0.000 4.992
0.000 2.055 4.992
0.000 0.000 6.912
2.055 2.055 3.071
2.055 2.055 0.000
```



The following is a GGA-PBE calculation of a relaxed Pr2MgGe2Rh5 crystal, from the Alexandria database.

Results
E_form = -6.8 eV/f.u.
Calculated total energy = -128.0 eV/cell
Space group = P4/mbm, No. 127
Magnetic moment = 0.00 μB/f.u.

POSCAR file:
```
Pr2MgGe2Rh5
1.0
-0.014 2.653 -2.416
-4.339 -6.152 -6.732
-9.120 2.896 3.232
Rh Ge Pr Mg
10 4 4 2
Cartesian
-4.567 2.774 0.408
-4.495 -0.514 -3.203
-11.931 -0.804 -3.481
-7.461 3.194 0.885
-2.176 -1.750 -4.574
-6.412 1.208 -1.302
-7.060 -1.812 -4.614
-1.542 0.201 -2.435
-8.978 -0.090 -2.713
-6.011 -3.797 -6.801
-7.238 -4.303 -4.684
-10.699 -1.297 -1.364
-6.221 1.046 1.184
-2.760 -1.960 -2.136
-4.526 -3.646 -3.979
-8.933 0.390 0.479
-3.723 -0.136 -0.129
-9.736 -3.120 -3.371
0.000 0.000 0.000
-6.729 -1.628 -1.750
```



The following is a GGA-PBE calculation of a relaxed PrMgGe2Rh5 crystal, from the Alexandria database.

Results
E_form = -3.7 eV/f.u.
Calculated total energy = -56.1 eV/cell
Space group = P4/mmm, No. 123
Magnetic moment = 0.00 μB/f.u.

POSCAR file:
```
PrMgGe2Rh5
1.0
-0.386 2.125 -4.062
-0.460 -4.074 -2.088
-7.460 0.377 0.906
Mg Rh Ge Pr
1 5 2 1
Cartesian
0.000 0.000 0.000
-1.951 -1.950 -0.835
-1.915 1.150 -1.822
-5.931 1.353 -1.334
-5.968 -1.747 -0.347
-4.153 -0.786 -2.622
-6.620 -0.661 -2.323
-1.686 -0.910 -2.922
-3.730 0.189 0.453
```



The following is a GGA-PBE calculation of a relaxed Pr2MgGe4Rh3 crystal, from the Alexandria database.

Results
E_form = -7.7 eV/f.u.
Calculated total energy = -59.3 eV/cell
Space group = P-4m2, No. 115
Magnetic moment = 0.00 μB/f.u.

POSCAR file:
```
Pr2MgGe4Rh3
1.0
4.306 0.000 0.000
0.000 4.306 0.000
0.000 0.000 10.475
Pr Rh Ge Mg
2 3 4 1
Cartesian
2.153 0.000 2.475
0.000 2.153 8.000
0.000 2.153 1.245
0.000 0.000 5.238
2.153 0.000 9.230
2.153 0.000 6.772
0.000 0.000 0.000
0.000 2.153 3.703
2.153 2.153 0.000
2.153 2.153 5.238
```



The following is a GGA-PBE calculation of a relaxed PrMg2GeRh2 crystal, from the Alexandria database.

Results
E_form = -2.2 eV/f.u.
Calculated total energy = -29.5 eV/cell
Space group = P4/mmm, No. 123
Magnetic moment = 0.48 μB/f.u.

POSCAR file:
```
PrMg2GeRh2
1.0
4.661 0.000 0.000
0.000 4.661 0.000
0.000 0.000 6.036
Pr Rh Mg Ge
1 2 2 1
Cartesian
0.000 0.000 3.018
0.000 2.331 0.000
2.331 0.000 0.000
2.331 2.331 4.548
2.331 2.331 1.488
0.000 0.000 0.000
```



The following is a GGA-PBE calculation of a relaxed PrMgGe2Ru crystal, from the Alexandria database.

Results
E_form = -2.5 eV/f.u.
Calculated total energy = -27.4 eV/cell
Space group = I-4m2, No. 119
Magnetic moment = 0.00 μB/f.u.

POSCAR file:
```
PrMgGe2Ru
1.0
-0.028 -4.140 0.032
1.579 0.019 3.828
-6.063 2.113 0.251
Pr Ge Mg Ru
1 2 1 1
Cartesian
0.000 0.000 0.000
-0.421 -2.049 2.423
-4.090 0.040 1.687
-2.657 -2.044 1.106
-1.854 0.035 3.004
```



The following is a GGA-PBE calculation of a relaxed Pr6MgGe2S14 crystal, from the Alexandria database.

Results
Calculated total energy = -133.9 eV/cell
Space group = P3, No. 143
Magnetic moment = 0.00 μB/f.u.
Formation energy without anion corrections = -1.59 eV/atom

POSCAR file:
```
Pr6MgGe2S14
1.0
-1.079 -1.895 -10.093
8.941 -2.100 4.721
-1.896 -5.356 1.208
S Pr Ge Mg
14 6 2 1
Cartesian
5.375 -4.458 -4.619
2.880 -7.389 -0.900
4.755 -4.422 0.322
0.673 -4.661 0.430
2.414 -5.304 -6.167
-0.001 -3.358 -8.180
-0.606 -3.935 -4.836
0.042 -1.934 -1.796
2.214 -4.452 -2.703
5.981 -7.185 -2.433
0.451 -7.076 -4.002
5.687 -7.900 1.240
6.068 -5.776 3.951
2.667 -6.534 2.556
6.274 -3.144 2.656
-0.297 -6.149 -6.832
6.671 -4.351 -2.068
-0.680 -4.946 -2.102
3.505 -6.815 -3.821
2.483 -2.484 -0.364
4.039 -6.443 0.778
1.630 -3.745 -4.753
-0.910 -2.570 0.580
```



The following is a GGA-PBE calculation of a relaxed PrSmMgGe crystal, from the Alexandria database.

Results
E_form = -1.5 eV/f.u.
Calculated total energy = -17.2 eV/cell
Space group = F-43m, No. 216
Magnetic moment = 0.00 μB/f.u.

POSCAR file:
```
PrSmMgGe
1.0
5.280 0.000 0.000
2.640 4.573 0.000
2.640 1.524 4.311
Sm Pr Ge Mg
1 1 1 1
Cartesian
5.280 3.048 2.156
0.000 0.000 0.000
2.640 1.524 1.078
7.920 4.573 3.233
```



The following is a GGA-PBE calculation of a relaxed TbPrMgGe crystal, from the Alexandria database.

Results
E_form = -1.4 eV/f.u.
Calculated total energy = -17.1 eV/cell
Space group = F-43m, No. 216
Magnetic moment = 0.00 μB/f.u.

POSCAR file:
```
TbPrMgGe
1.0
-3.299 -0.309 4.061
1.813 -1.233 4.761
0.140 3.635 3.773
Pr Mg Tb Ge
1 1 1 1
Cartesian
-0.337 0.523 3.149
0.000 0.000 0.000
-1.010 1.570 9.447
-0.673 1.047 6.298
```



The following is a GGA-PBE calculation of a relaxed PrMgZnGe crystal, from the Alexandria database.

Results
E_form = -1.3 eV/f.u.
Calculated total energy = -13.6 eV/cell
Space group = F-43m, No. 216
Magnetic moment = 0.00 μB/f.u.

POSCAR file:
```
PrMgZnGe
1.0
-0.551 -1.884 4.597
2.050 -4.409 1.156
3.912 -0.200 3.105
Zn Pr Ge Mg
1 1 1 1
Cartesian
0.000 0.000 0.000
4.059 -4.869 6.643
2.706 -3.246 4.429
1.353 -1.623 2.214
```



The following is a GGA-PBE calculation of a relaxed PrMgZnGe2 crystal, from the Alexandria database.

Results
E_form = -2.4 eV/f.u.
Calculated total energy = -19.3 eV/cell
Space group = I-4m2, No. 119
Magnetic moment = 0.00 μB/f.u.

POSCAR file:
```
PrMgZnGe2
1.0
4.229 0.000 0.000
0.000 4.229 0.000
-2.115 -2.115 5.874
Ge Zn Pr Mg
2 1 1 1
Cartesian
0.000 0.000 4.592
2.115 2.115 1.282
0.000 2.115 2.937
0.000 0.000 0.000
2.115 0.000 2.937
```



The following is a GGA-PBE calculation of a relaxed Pr2MgZn3Ge4 crystal, from the Alexandria database.

Results
E_form = -4.2 eV/f.u.
Calculated total energy = -37.6 eV/cell
Space group = P-4m2, No. 115
Magnetic moment = 0.00 μB/f.u.

POSCAR file:
```
Pr2MgZn3Ge4
1.0
4.347 0.000 0.000
0.000 4.347 0.000
0.000 0.000 10.873
Ge Zn Pr Mg
4 3 2 1
Cartesian
0.000 2.174 3.851
2.174 0.000 7.022
0.000 0.000 0.000
2.174 2.174 0.000
0.000 0.000 5.437
2.174 0.000 9.480
0.000 2.174 1.393
2.174 0.000 2.585
0.000 2.174 8.288
2.174 2.174 5.437
```



The following is a GGA-PBE calculation of a relaxed PrMg2Zn2Ge2 crystal, from the Alexandria database.

Results
E_form = -2.1 eV/f.u.
Calculated total energy = -21.8 eV/cell
Space group = R-3m, No. 166
Magnetic moment = 0.00 μB/f.u.

POSCAR file:
```
PrMg2Zn2Ge2
1.0
-1.420 0.335 4.294
-3.204 -2.808 1.555
4.044 -5.952 4.197
Zn Mg Ge Pr
2 2 2 1
Cartesian
-1.325 -3.262 4.607
0.745 -5.162 5.439
1.722 -3.820 3.263
-2.302 -4.605 6.784
-0.335 -6.410 7.575
-0.245 -2.015 2.471
0.000 0.000 0.000
```



The following is a GGA-PBE calculation of a relaxed MgGePt2 crystal, from the Alexandria database.

Results
E_form = -1.5 eV/f.u.
Calculated total energy = -39.5 eV/cell
Space group = I-42d, No. 122
Magnetic moment = 0.00 μB/f.u.

POSCAR file:
```
MgGePt2
1.0
-4.576 4.804 -2.613
-4.885 -2.059 4.769
-3.763 3.282 2.894
Mg Pt Ge
2 4 2
Cartesian
-4.731 1.373 1.078
-6.689 1.298 4.370
-6.189 3.567 2.802
-4.396 -0.044 3.474
-11.282 4.787 4.233
-4.581 3.744 -0.411
-6.535 4.729 0.679
0.000 0.000 0.000
```



The following is a GGA-PBE calculation of a relaxed MgGePt5 crystal, from the Alexandria database.

Results
E_form = -3.7 eV/f.u.
Calculated total energy = -40.1 eV/cell
Space group = P4/mmm, No. 123
Magnetic moment = 0.00 μB/f.u.

POSCAR file:
```
MgGePt5
1.0
-3.081 1.714 -1.828
-1.076 -3.521 -1.489
-4.115 -1.200 5.810
Pt Ge Mg
5 1 1
Cartesian
-4.136 -1.504 1.246
-2.448 0.593 0.367
-1.445 -2.025 0.536
-4.748 -0.078 3.615
-3.746 -2.696 3.785
-2.078 -0.904 -1.659
-2.057 -0.600 2.905
```



The following is a GGA-PBE calculation of a relaxed Mg2GePt2 crystal, from the Alexandria database.

Results
E_form = -3.6 eV/f.u.
Calculated total energy = -47.1 eV/cell
Space group = C2/c, No. 15
Magnetic moment = 0.00 μB/f.u.

POSCAR file:
```
Mg2GePt2
1.0
-0.448 -0.804 5.392
-2.127 -4.547 2.173
5.969 -3.937 1.464
Mg Ge Pt
4 2 4
Cartesian
2.803 -4.907 3.118
0.265 -1.942 3.244
0.591 -4.381 5.910
3.128 -7.346 5.785
3.708 -4.470 5.876
-0.315 -4.818 3.152
-0.496 -1.189 0.569
0.478 -7.080 6.910
3.889 -8.099 8.459
2.915 -2.208 2.118
```



The following is a GGA-PBE calculation of a relaxed Mg4GePt2 crystal, from the Alexandria database.

Results
E_form = -0.5 eV/f.u.
Calculated total energy = -23.5 eV/cell
Space group = I4/mmm, No. 139
Magnetic moment = 0.00 μB/f.u.

POSCAR file:
```
Mg4GePt2
1.0
4.972 0.000 0.000
0.000 4.972 0.000
2.486 2.486 6.487
Mg Ge Pt
4 1 2
Cartesian
0.000 2.486 0.000
4.972 4.972 2.588
2.486 2.486 3.899
2.486 0.000 0.000
0.000 0.000 0.000
4.972 4.972 5.126
2.486 2.486 1.361
```



The following is a GGA-PBE calculation of a relaxed MgGePt crystal, from the Alexandria database.

Results
E_form = -1.5 eV/f.u.
Calculated total energy = -55.1 eV/cell
Space group = P-1, No. 2
Magnetic moment = 0.00 μB/f.u.

POSCAR file:
```
MgGePt
1.0
4.861 0.092 0.096
1.696 7.083 -0.146
1.716 1.299 6.872
Ge Pt Mg
4 4 4
Cartesian
3.350 4.086 2.090
4.923 4.388 4.731
4.848 6.860 1.210
3.425 1.614 5.612
5.767 4.669 2.193
2.506 3.805 4.629
5.845 1.414 5.665
2.428 7.060 1.156
6.785 6.559 3.872
1.488 1.915 2.950
4.741 2.417 0.423
3.532 6.058 6.399
```



The following is a GGA-PBE calculation of a relaxed MgGe3Pt crystal, from the Alexandria database.

Results
E_form = 1.3 eV/f.u.
Calculated total energy = -20.2 eV/cell
Space group = Pm-3m, No. 221
Magnetic moment = 0.00 μB/f.u.

POSCAR file:
```
MgGe3Pt
1.0
-2.914 3.875 0.896
-2.672 -2.730 3.117
2.945 1.357 3.714
Mg Ge Pt
1 3 1
Cartesian
-1.320 1.250 3.863
1.473 0.678 1.857
-1.457 1.937 0.448
-1.336 -1.365 1.558
0.000 0.000 0.000
```